(1)
{
  "formula": "Gd3CuGeSe7",
  "functional": "PBE",
  "state": "relaxed",
  "formation_energy_uncorrected_ev_per_atom": -1.30,
  "mass_density_g_cm3": 6.658,
  "lattice_angstrom": [[-2.6709, -5.9139, 8.1867], [10.0780, 1.3877, -2.3747], [0.1739, 4.9366, 3.6228]],
  "species": ["Se", "Se", "Se", "Se", "Se", "Se", "Se", "Se", "Se", "Se", "Se", "Se", "Se", "Se", "Gd", "Gd", "Gd", "Gd", "Gd", "Gd", "Cu", "Cu", "Ge", "Ge"],
  "frac_coords": [[0.7402, 0.8392, 0.2214], [0.5770, 0.4825, 0.9991], [0.8392, 0.0990, 0.7214], [0.4825, 0.9054, 0.4991], [0.0990, 0.2598, 0.2214], [0.9010, 0.7402, 0.7214], [0.6667, 0.3333, 0.4498], [0.5175, 0.0946, 0.9991], [0.4230, 0.5175, 0.4991], [0.3333, 0.6667, 0.9498], [0.2598, 0.1608, 0.7214], [0.9054, 0.4230, 0.9991], [0.0946, 0.5770, 0.4991], [0.1608, 0.9010, 0.2214], [0.3556, 0.2227, 0.2510], [0.8671, 0.6444, 0.2510], [0.2227, 0.8671, 0.7510], [0.6444, 0.7773, 0.7510], [0.7773, 0.1329, 0.2510], [0.1329, 0.3556, 0.7510], [0.0000, 0.0000, 0.2057], [0.0000, 0.0000, 0.7057], [0.3333, 0.6667, 0.3352], [0.6667, 0.3333, 0.8352]]
}

***

(2)
{
  "formula": "TbGdCuGe",
  "functional": "PBE",
  "state": "relaxed",
  "mass_density_g_cm3": 8.462,
  "ef_ev_per_atom": -0.50,
  "lattice_angstrom": [[5.0071, 0.0000, 0.0000], [2.5036, 4.3363, 0.0000], [2.5036, 1.4454, 4.0883]],
  "species": ["Cu", "Tb", "Gd", "Ge"],
  "frac_coords": [[0.7500, 0.7500, 0.7500], [0.0000, 0.0000, 0.0000], [0.5000, 0.5000, 0.5000], [0.2500, 0.2500, 0.2500]]
}

***

(3)
{
  "formula": "GdTmCuGe",
  "functional": "PBE",
  "state": "relaxed",
  "mass_density_g_cm3": 8.888,
  "ef_ev_per_atom": -0.50,
  "lattice_angstrom": [[4.9619, 0.0000, 0.0000], [2.4809, 4.2971, 0.0000], [2.4809, 1.4324, 4.0514]],
  "species": ["Gd", "Tm", "Ge", "Cu"],
  "frac_coords": [[0.0000, 0.0000, 0.0000], [0.5000, 0.5000, 0.5000], [0.2500, 0.2500, 0.2500], [0.7500, 0.7500, 0.7500]]
}

***

(4)
{
  "formula": "GdCuH3",
  "functional": "PBE",
  "state": "relaxed",
  "e_tot_ev_per_atom": -5.909,
  "mass_density_g_cm3": 7.777,
  "lattice_angstrom": [[3.6290, 0.0000, 0.0000], [0.0000, 3.6290, 0.0000], [0.0000, 0.0000, 3.6290]],
  "species": ["Cu", "Gd", "H", "H", "H"],
  "frac_coords": [[0.0000, 0.0000, 0.0000], [0.5000, 0.5000, 0.5000], [0.0000, 0.0000, 0.5000], [0.0000, 0.5000, 0.0000], [0.5000, 0.0000, 0.0000]]
}

***

(5)
{
  "formula": "GdCuH",
  "functional": "PBE",
  "state": "relaxed",
  "e_tot_ev_per_atom": -7.423,
  "mass_density_g_cm3": 7.989,
  "lattice_angstrom": [[-1.6680, -2.5010, -1.5971], [-0.0391, -1.8135, 2.8806], [-6.0823, 5.4993, 1.3682]],
  "species": ["Cu", "Cu", "Gd", "Gd", "H", "H"],
  "frac_coords": [[0.7150, 0.7150, 0.4300], [0.2850, 0.2850, 0.5700], [0.8983, 0.8983, 0.7966], [0.1017, 0.1017, 0.2034], [0.5000, 0.0000, 0.0000], [0.0000, 0.5000, 0.0000]]
}

***

(6)
{
  "formula": "Gd2CuH",
  "functional": "PBE",
  "state": "relaxed",
  "e_tot_ev_per_atom": -8.668,
  "mass_density_g_cm3": 7.323,
  "lattice_angstrom": [[3.4427, 0.0000, 0.0000], [1.7213, 2.9814, 0.0000], [1.7213, 0.9938, 8.3739]],
  "species": ["Cu", "Gd", "Gd", "H"],
  "frac_coords": [[0.0000, 0.0000, 0.0000], [0.8884, 0.8884, 0.3349], [0.1116, 0.1116, 0.6651], [0.5000, 0.5000, 0.5000]]
}

***

(7)
{
  "formula": "GdCuH2",
  "functional": "PBE",
  "state": "relaxed",
  "e_tot_ev_per_atom": -5.929,
  "mass_density_g_cm3": 7.447,
  "lattice_angstrom": [[-1.0151, 2.3400, -1.8524], [-3.0595, 0.7581, -0.0481], [-0.4918, 4.8015, 3.6525]],
  "species": ["Cu", "H", "H", "Gd"],
  "frac_coords": [[0.5000, 0.5000, 0.5000], [0.8717, 0.8717, 0.3849], [0.1283, 0.1283, 0.6151], [0.0000, 0.0000, 0.0000]]
}

***

(8)
{
  "formula": "GdHfCu2",
  "functional": "PBE",
  "state": "relaxed",
  "polymorph_energy_mev_per_atom": 58,
  "mass_density_g_cm3": 10.138,
  "ef_ev_per_atom": -0.08,
  "lattice_angstrom": [[3.3037, 0.0000, 0.0000], [0.0000, 4.7903, 0.0000], [0.0000, 0.0000, 4.7903]],
  "species": ["Hf", "Gd", "Cu", "Cu"],
  "frac_coords": [[0.5000, 0.0000, 0.0000], [0.5000, 0.5000, 0.5000], [0.0000, 0.5000, 0.0000], [0.0000, 0.0000, 0.5000]]
}

***

(9)
{
  "formula": "GdHfCu4",
  "functional": "PBE",
  "state": "relaxed",
  "mass_density_g_cm3": 10.133,
  "ef_ev_per_atom": -0.06,
  "lattice_angstrom": [[-1.0330, -4.5499, 2.1842], [-0.1897, -4.2606, -2.8898], [3.7018, -3.5590, 0.4123]],
  "species": ["Cu", "Cu", "Cu", "Cu", "Hf", "Gd"],
  "frac_coords": [[0.1272, 0.6243, 0.6243], [0.6243, 0.6243, 0.1272], [0.6243, 0.1272, 0.6243], [0.6243, 0.6243, 0.6243], [0.2500, 0.2500, 0.2500], [0.0000, 0.0000, 0.0000]]
}

***

(10)
{
  "formula": "GdHfCu2",
  "functional": "PBE",
  "state": "relaxed",
  "polymorph_energy_mev_per_atom": 80,
  "mass_density_g_cm3": 10.086,
  "ef_ev_per_atom": -0.06,
  "lattice_angstrom": [[-4.3057, -0.2902, 2.0055], [-1.2854, -3.9546, 2.3140], [-0.4254, 0.0483, 4.7394]],
  "species": ["Hf", "Cu", "Cu", "Gd"],
  "frac_coords": [[0.5000, 0.5000, 0.5000], [0.2500, 0.2500, 0.2500], [0.7500, 0.7500, 0.7500], [0.0000, 0.0000, 0.0000]]
}

***

(11)
{
  "formula": "Gd2HfCu",
  "functional": "PBE",
  "state": "relaxed",
  "polymorph_energy_mev_per_atom": 0,
  "mass_density_g_cm3": 9.605,
  "ef_ev_per_atom": -0.01,
  "lattice_angstrom": [[3.3901, 0.0000, 0.0000], [0.0000, 3.3901, 0.0000], [0.0000, 0.0000, 8.3720]],
  "species": ["Cu", "Gd", "Gd", "Hf"],
  "frac_coords": [[0.5000, 0.5000, 0.0000], [0.0000, 0.0000, 0.2223], [0.0000, 0.0000, 0.7777], [0.5000, 0.5000, 0.5000]]
}

***

(12)
{
  "formula": "Gd2HfCu",
  "functional": "PBE",
  "state": "relaxed",
  "polymorph_energy_mev_per_atom": 424,
  "mass_density_g_cm3": 9.284,
  "ef_ev_per_atom": 0.41,
  "lattice_angstrom": [[-1.8804, 0.2098, 2.6462], [0.2356, -2.2426, 2.3447], [7.0681, 5.2872, 6.6032]],
  "species": ["Cu", "Hf", "Gd", "Gd"],
  "frac_coords": [[0.5000, 0.5000, 0.5000], [0.0000, 0.0000, 0.0000], [0.9032, 0.9032, 0.2903], [0.0968, 0.0968, 0.7097]]
}